{"formula": "Rb2MnF5", "functional": "GGA-PBEsol", "state": "optimized geometry", "sg": "P4/mmm", "crystal_system": "tetragonal", "raw_formation_energy_kj_per_mol_fu": -2064, "lattice_angstrom": [[4.129, 0.000, 0.000], [0.000, 5.989, 0.000], [0.000, 0.000, 5.989]], "species": ["Rb", "Rb", "Mn", "F", "F", "F", "F", "F"], "frac_coords": [[0.500, 0.500, 0.000], [0.500, 0.000, 0.500], [0.000, 0.000, 0.000], [0.500, 0.000, 0.000], [0.000, 0.779, 0.779], [0.000, 0.779, 0.221], [0.000, 0.221, 0.221], [0.000, 0.221, 0.779]]}